Ag3SbC, optimized geometry, DFT PBE-GGA; E_form (uncorrected) = 1.73 eV per atom; DOS(E_F) = 0.973 states/eV per atom; raw total energy = -2.65 eV/atom
1.0
5.2804 0.0000 0.0000
0.0000 5.2804 0.0000
0.0000 0.0000 5.2804
Ag Sb C
3 1 1
Direct
0.0000 0.0000 0.5000
0.0000 0.5000 0.0000
0.5000 0.0000 0.0000
0.0000 0.0000 0.0000
0.5000 0.5000 0.5000

---

AgSb3C, optimized geometry, DFT PBE-GGA; E_form (uncorrected) = 1.99 eV per atom; DOS(E_F) = 1.053 states/eV per atom; raw total energy = -2.90 eV/atom
1.0
5.3532 0.0000 0.0000
0.0000 5.3532 0.0000
0.0000 0.0000 5.3532
Ag Sb C
1 3 1
Direct
0.0000 0.0000 0.0000
0.0000 0.0000 0.5000
0.0000 0.5000 0.0000
0.5000 0.0000 0.0000
0.5000 0.5000 0.5000

---

Ag3SbC, optimized geometry, DFT PBE-GGA; E_form (uncorrected) = 0.89 eV per atom; DOS(E_F) = 0.534 states/eV per atom; raw total energy = -3.49 eV/atom
1.0
4.4892 0.0000 0.0000
0.0000 4.4892 0.0000
0.0000 0.0000 4.4892
Ag Sb C
3 1 1
Direct
0.0000 0.0000 0.5000
0.0000 0.5000 0.0000
0.5000 0.0000 0.0000
0.5000 0.5000 0.5000
0.0000 0.0000 0.0000

---

AgSb3C, optimized geometry, DFT PBE-GGA; E_form (uncorrected) = 0.96 eV per atom; DOS(E_F) = 0.452 states/eV per atom; raw total energy = -3.92 eV/atom
1.0
4.7914 0.0000 0.0000
0.0000 4.7914 0.0000
0.0000 0.0000 4.7914
Ag Sb C
1 3 1
Direct
0.0000 0.0000 0.0000
0.0000 0.5000 0.5000
0.5000 0.0000 0.5000
0.5000 0.5000 0.0000
0.5000 0.5000 0.5000

---

AgSbTe2C, optimized geometry, DFT PBE-GGA; E_form (uncorrected) = 1.02 eV per atom; DOS(E_F) = 0.635 states/eV per atom; raw total energy = -3.48 eV/atom
1.0
4.8975 0.0000 0.0000
0.0000 4.8975 0.0000
0.0000 0.0000 4.6821
Ag Sb Te C
1 1 2 1
Direct
0.0000 0.0000 0.0000
0.5000 0.5000 0.0000
0.0000 0.5000 0.5000
0.5000 0.0000 0.5000
0.5000 0.5000 0.5000

---

AgSb2TeC, optimized geometry, DFT PBE-GGA; E_form (uncorrected) = 0.98 eV per atom; DOS(E_F) = 0.383 states/eV per atom; raw total energy = -3.71 eV/atom
1.0
4.7708 0.0000 0.0000
0.0000 4.7708 0.0000
0.0000 0.0000 4.8564
Ag Sb Te C
1 2 1 1
Direct
0.0000 0.0000 0.0000
0.0000 0.5000 0.5000
0.5000 0.0000 0.5000
0.5000 0.5000 0.0000
0.5000 0.5000 0.5000

---

AgSbTe2C, optimized geometry, DFT PBE-GGA; E_form (uncorrected) = 1.92 eV per atom; DOS(E_F) = 1.309 states/eV per atom; raw total energy = -2.57 eV/atom
1.0
5.4636 0.0000 0.0000
0.0000 5.4636 0.0000
0.0000 0.0000 5.3127
Ag Sb Te C
1 1 2 1
Direct
0.0000 0.0000 0.0000
0.0000 0.0000 0.5000
0.0000 0.5000 0.0000
0.5000 0.0000 0.0000
0.5000 0.5000 0.5000

---

AgSb2TeC, optimized geometry, DFT PBE-GGA; E_form (uncorrected) = 1.95 eV per atom; DOS(E_F) = 1.077 states/eV per atom; raw total energy = -2.74 eV/atom
1.0
5.3729 0.0000 0.0000
0.0000 5.3729 0.0000
0.0000 0.0000 5.4074
Ag Sb Te C
1 2 1 1
Direct
0.0000 0.0000 0.0000
0.0000 0.5000 0.0000
0.5000 0.0000 0.0000
0.0000 0.0000 0.5000
0.5000 0.5000 0.5000